Entry 1:
Density functional theory data (GGA-PBE) for La2SeCl after structural relaxation.

```
La2SeCl
1.0
-2.357 -2.117 1.895
2.824 -2.021 1.253
0.636 4.486 5.802
La Se Cl
2 1 1
Cartesian
0.313 2.206 2.854
0.005 0.037 0.047
0.393 -0.948 3.025
0.711 1.295 5.926
```

- energy above the most stable polymorph in this dataset (meV per atom) = 218
- raw formation energy (eV per atom) = -1.559
- spin magnetization (μB per cell) = 0.0
- VASP energy (eV per atom) = -5.356
- symmetry = P4/mmm

Entry 2:
Density functional theory data (GGA-PBE) for LaTaSeN2 after structural relaxation.

```
LaTaSeN2
1.0
4.216 0.000 0.000
0.000 4.216 0.000
0.000 0.000 5.957
La N Se Ta
1 2 1 1
Cartesian
0.000 0.000 0.000
0.000 2.108 0.000
2.108 0.000 0.000
0.000 0.000 2.979
2.108 2.108 2.979
```

- energy above the most stable polymorph in this dataset (meV per atom) = 2035
- raw formation energy (eV per atom) = 1.174
- spin magnetization (μB per cell) = 1.8
- VASP energy (eV per atom) = -6.209
- symmetry = P4/mmm

Entry 3:
Density functional theory data (GGA-PBE) for Li2Ac5Sn5 after structural relaxation.

```
Li2Ac5Sn5
1.0
-4.625 -1.463 -0.880
3.703 -5.104 2.835
-4.955 10.636 8.352
Sn Ac Li
5 5 2
Cartesian
-4.114 1.242 5.742
0.000 0.000 0.000
-1.763 2.826 4.565
-5.695 5.533 6.920
-0.181 -1.464 3.387
-4.790 4.586 3.736
-3.954 6.595 9.810
-1.923 -2.527 0.497
-3.219 0.333 2.555
-2.657 3.735 7.752
-3.497 7.164 6.465
-2.379 -3.096 3.842
```

- energy above the most stable polymorph in this dataset (meV per atom) = 113
- spin magnetization (μB per cell) = 0.0
- VASP energy (eV per atom) = -4.212
- ΔH_f (0 K) (meV per atom) = -513
- symmetry = C2/m

Entry 4:
Density functional theory data (GGA-PBE) for KBa2NaCd after structural relaxation.

```
KBa2NaCd
1.0
6.736 0.000 0.000
0.000 6.736 0.000
0.000 0.000 6.718
Na K Ba Cd
1 1 2 1
Cartesian
3.368 3.368 3.359
0.000 0.000 3.359
0.000 3.368 0.000
3.368 0.000 0.000
0.000 0.000 0.000
```

- energy above the most stable polymorph in this dataset (meV per atom) = 35
- spin magnetization (μB per cell) = 0.0
- VASP energy (eV per atom) = -1.389
- ΔH_f (0 K) (meV per atom) = 47
- symmetry = P4/mmm

Entry 5:
Density functional theory data (GGA-PBE) for LiTl2Cd after structural relaxation.

```
LiTl2Cd
1.0
-2.750 2.075 -0.405
-2.267 -0.587 -2.559
-6.800 -5.065 4.733
Cd Li Tl
1 1 2
Cartesian
-5.909 -1.789 0.885
-3.347 0.991 -1.975
-5.587 -3.750 3.381
-2.882 -0.817 0.363
```

- spin magnetization (μB per cell) = 0.0
- VASP energy (eV per atom) = -1.958
- ΔH_f (0 K) (meV per atom) = -68
- symmetry = Cm

Entry 6:
Density functional theory data (GGA-PBE) for Be3In after structural relaxation.

```
Be3In
1.0
-1.848 1.848 7.674
1.848 -1.848 7.674
1.848 1.848 -7.674
Be In
6 2
Cartesian
1.848 0.000 0.000
0.000 0.000 1.099
0.000 0.000 14.249
0.000 1.848 0.000
0.000 1.848 3.837
1.848 0.000 3.837
0.000 0.000 5.657
0.000 0.000 9.691
```

- energy above the most stable polymorph in this dataset (meV per atom) = 287
- spin magnetization (μB per cell) = 0.0
- VASP energy (eV per atom) = -2.960
- ΔH_f (0 K) (meV per atom) = 519
- symmetry = I4/mmm

Entry 7:
Density functional theory data (GGA-PBE) for TbSm9Sc2 after structural relaxation.

```
TbSm9Sc2
1.0
-2.407 -1.883 4.002
-0.119 -4.527 -2.201
13.260 -3.440 6.357
Sm Sc Tb
9 2 1
Cartesian
2.211 -2.852 -0.012
5.426 -2.661 5.180
9.786 -3.793 7.270
10.930 -5.115 4.168
-1.263 -3.205 0.900
1.066 -1.530 3.089
6.570 -3.983 2.078
7.540 -5.489 5.121
3.193 -4.361 3.037
4.449 -1.154 2.133
8.811 -2.286 4.224
0.000 0.000 0.000
```

- spin magnetization (μB per cell) = 0.0
- VASP energy (eV per atom) = -4.947
- ΔH_f (0 K) (meV per atom) = 34
- symmetry = P4/mmm

Entry 8:
Density functional theory data (GGA-PBE) for AcLaTb2Y5 after structural relaxation.

```
AcLaTb2Y5
1.0
8.971 0.000 0.000
0.000 8.971 0.000
-4.485 -4.485 7.779
Y La Ac Tb
10 2 2 4
Cartesian
1.861 2.625 5.810
-1.861 -2.625 5.810
6.346 7.110 1.969
1.861 6.346 1.969
2.625 1.861 1.969
0.000 0.000 0.000
7.110 2.625 1.969
2.625 -1.861 5.810
4.485 4.485 0.000
-2.625 1.861 5.810
4.485 4.485 3.889
0.000 0.000 3.889
0.000 4.485 3.889
4.485 0.000 3.889
1.012 3.473 0.000
3.473 7.959 0.000
7.959 5.498 0.000
5.498 1.012 0.000
```

- spin magnetization (μB per cell) = 0.0
- VASP energy (eV per atom) = -5.364
- ΔH_f (0 K) (meV per atom) = 260
- symmetry = I4/mcm

Entry 9:
Density functional theory data (GGA-PBE) for TaH2Os after structural relaxation.

```
TaH2Os
1.0
-1.685 -0.100 -2.428
-2.318 -3.627 1.757
-2.766 3.500 3.576
H Ta Os
4 2 2
Cartesian
-4.262 0.199 1.149
-1.426 1.264 0.938
-5.342 -1.491 1.968
-2.506 -0.426 1.756
-3.109 1.512 2.095
-3.659 -1.739 0.810
-1.013 -0.492 0.723
-5.755 0.265 2.182
```

- energy above the most stable polymorph in this dataset (meV per atom) = 0
- spin magnetization (μB per cell) = 0.0
- VASP energy (eV per atom) = -7.494
- symmetry = Cmcm

Entry 10:
Density functional theory data (GGA-PBE) for CePmDyPu after structural relaxation.

```
CePmDyPu
1.0
5.578 0.000 0.000
2.789 4.830 0.000
2.789 1.610 4.554
Dy Ce Pu Pm
1 1 1 1
Cartesian
0.000 0.000 0.000
5.578 3.220 2.277
2.789 1.610 1.139
8.367 4.830 3.416
```

- spin magnetization (μB per cell) = 8.5
- VASP energy (eV per atom) = -7.191
- ΔH_f (0 K) (meV per atom) = 213
- symmetry = F-43m

Entry 11:
Density functional theory data (GGA-PBE) for Zn2RhW after structural relaxation.

```
Zn2RhW
1.0
-4.112 -2.010 -0.891
-2.204 -3.337 -2.398
0.242 -3.450 3.347
Zn W Rh
2 1 1
Cartesian
-1.509 -2.124 -0.040
-6.306 -5.413 -3.219
-4.572 -6.533 -0.035
-3.040 -4.475 0.092
```

- energy above the most stable polymorph in this dataset (meV per atom) = 116
- spin magnetization (μB per cell) = 0.0
- VASP energy (eV per atom) = -5.700
- ΔH_f (0 K) (meV per atom) = 13
- symmetry = Cm

Entry 12:
Density functional theory data (GGA-PBE) for Ca4ZnHg3 after structural relaxation.

```
Ca4ZnHg3
1.0
-2.962 2.138 0.921
-2.198 -3.059 0.035
3.053 -2.025 14.528
Ca Hg Zn
4 3 1
Cartesian
0.367 -0.244 1.747
2.686 -1.782 12.781
1.914 -1.270 9.108
1.139 -0.756 5.420
-1.053 -1.473 7.742
-1.830 -0.958 4.047
-0.276 -1.988 11.437
-2.580 -0.461 0.478
```

- spin magnetization (μB per cell) = 0.0
- VASP energy (eV per atom) = -1.736
- ΔH_f (0 K) (meV per atom) = -463
- symmetry = P4/mmm